No. 1
Here is a relaxed structure of CaRh3O from the Alexandria database. Energies are from PBE-GGA.

Structure (extended XYZ):
```
5
Lattice="4.8566 0.0000 0.0000 0.0000 4.8566 0.0000 0.0000 0.0000 4.8566" Properties=species:S:1:pos:R:3 pbc="T T T"
Rh 2.4283 0.0000 0.0000
Rh 0.0000 0.0000 2.4283
Rh 0.0000 2.4283 0.0000
Ca 0.0000 0.0000 0.0000
O 2.4283 2.4283 2.4283
```

The raw total energy comes out at -3.7320 eV per atom. The formation energy without anion corrections is 2070.9 meV/atom. As for the symmetry: Pm-3m, No. 221. The value obtained for the energy relative to the lowest polymorph listed for this composition is 2.243 eV/atom.

***

No. 2
Here is a relaxed structure of CaRuRh2O6 from the Alexandria database. Energies are from PBE-GGA.

Structure (extended XYZ):
```
10
Lattice="5.3371 0.0001 0.0000 2.6686 4.6219 0.0000 2.6682 1.5409 4.7935" Properties=species:S:1:pos:R:3 pbc="T T T"
O 7.1352 3.1471 1.0936
O 5.9471 4.4749 3.6643
O 4.3814 4.6054 1.0929
O 6.2386 1.8563 3.6647
O 4.4951 1.4915 1.0928
O 3.8247 2.9131 3.6642
Ru 2.6682 1.5408 0.1813
Ca 8.0054 4.6223 2.8101
Rh 5.3370 3.0814 2.1203
Rh 2.6683 1.5408 4.6564
```

The raw total energy comes out at -6.7553 eV per atom. The formation energy without anion corrections is -1182.3 meV/atom. As for the symmetry: R3, No. 146.

***

No. 3
Here is a relaxed structure of CaRhS2O8 from the Alexandria database. Energies are from PBE-GGA.

Structure (extended XYZ):
```
12
Lattice="5.0358 0.0000 0.0000 -2.5179 4.3611 0.0000 0.0000 0.0000 7.1202" Properties=species:S:1:pos:R:3 pbc="T T T"
Ca 0.0000 0.0000 0.0000
O 1.1386 1.0837 2.0531
O 3.5279 0.4442 2.0531
O -1.0101 3.9169 5.0671
O -0.3692 1.5279 5.0671
O 2.8871 2.8332 2.0531
O 2.5179 1.4537 0.1239
O 1.3792 3.2774 5.0671
O 0.0000 2.9074 6.9963
S 2.5179 1.4537 1.6036
S 0.0000 2.9074 5.5166
Rh 0.0000 0.0000 3.5601
```

The raw total energy comes out at -6.2073 eV per atom. The formation energy without anion corrections is -1434.5 meV/atom. As for the symmetry: P-3, No. 147.

***

No. 4
Here is a relaxed structure of CaSbRhO6 from the Alexandria database. Energies are from PBE-GGA.

Structure (extended XYZ):
```
18
Lattice="-4.9362 -0.9300 -1.6203 1.2343 -0.4766 5.1094 -2.3196 9.7510 1.4699" Properties=species:S:1:pos:R:3 pbc="T T T"
Rh -2.5622 6.6855 3.9686
Rh -3.4593 1.6589 0.9904
O -4.7984 0.2921 0.4454
O -3.8309 5.3724 3.1782
O -2.0480 5.4549 5.4449
O -3.9735 2.8895 -0.4859
O -2.6986 0.4949 2.4134
O -1.2231 8.0523 4.5135
O -2.1906 2.9719 1.7807
O -4.9611 2.2572 2.1500
O -3.8880 7.2968 5.3202
O -3.3230 7.8494 2.5456
O -1.0604 6.0872 2.8089
O -2.1335 1.0476 -0.3612
Sb -1.4024 1.8100 3.2336
Sb -4.6191 6.5344 1.7253
Ca 0.0000 0.0000 0.0000
Ca -1.1598 4.8755 0.7349
```

The raw total energy comes out at -6.3046 eV per atom. The formation energy without anion corrections is -1501.9 meV/atom. As for the symmetry: P-31c, No. 163.

***

No. 5
Here is a relaxed structure of Ca2SbRhO6 from the Alexandria database. Energies are from PBE-GGA.

Structure (extended XYZ):
```
20
Lattice="-1.6622 0.3373 5.2266 3.6274 -4.1202 1.4195 5.4927 5.3639 1.5329" Properties=species:S:1:pos:R:3 pbc="T T T"
Ca 2.6895 4.1004 6.3675
Ca 2.1592 -0.3233 3.5297
Ca 5.2988 1.9043 4.6494
Ca 4.7685 -2.5194 1.8116
O 2.8319 1.6654 2.0123
O 0.5178 1.4105 3.6127
O 4.4848 -0.4355 3.2883
O 0.7461 -0.4800 1.3890
O 4.6261 -0.0844 6.1668
O 5.1466 4.0623 5.5484
O 5.6393 2.1700 2.3701
O 2.3113 -2.4812 2.6307
O 2.9731 2.0165 4.8907
O 6.9402 0.1705 4.5663
O 1.8187 -0.5890 5.8090
O 6.7119 2.0610 6.7901
Sb 1.8137 -2.0601 0.7098
Sb 1.9153 2.8506 3.3798
Rh -0.8311 0.1687 2.6133
Rh 4.5601 0.6219 1.4762
```

The raw total energy comes out at -6.4601 eV per atom. The formation energy without anion corrections is -1937.5 meV/atom. As for the symmetry: P2_1/c, No. 14.

***

No. 6
Here is a relaxed structure of CaRhSe2O8 from the Alexandria database. Energies are from PBE-GGA.

Structure (extended XYZ):
```
12
Lattice="-4.7934 0.1371 -1.6903 -3.3649 -3.4529 1.6149 -4.4405 3.0108 5.1894" Properties=species:S:1:pos:R:3 pbc="T T T"
Se -3.0846 -0.2320 1.0813
Se -9.5143 -0.0731 4.0328
O -7.8886 0.0177 4.8347
O -3.5040 0.7710 2.3519
O -9.0949 -1.0760 2.7621
O -7.3257 -1.5238 0.3642
O -5.1836 -2.6259 1.9412
O -4.7103 -0.3227 0.2794
O -7.4153 2.3209 3.1728
O -5.2731 1.2188 4.7498
Rh 0.0000 0.0000 0.0000
Ca -6.2994 -0.1525 2.5570
```

The raw total energy comes out at -5.5672 eV per atom. The formation energy without anion corrections is -901.5 meV/atom. As for the symmetry: R-3, No. 148.